Record 1
Here is a geometry-optimized Ce3Dy5As8 structure from Alexandria via LeMat-Bulk. Energies are from GGA-PBE.

The value obtained for the final energy is -305.8 eV per cell. The value obtained for the volume is 25.34 A^3/atom. Its density of states at the Fermi level is 51.208 states/eV/cell. Its formation energy is -1.496 eV/atom.

It has space group R-3m (No. 166, hexagonal axes), with a = 8.3114 Å, b = 8.3114 Å, c = 20.3320 Å, α = 90.00°, β = 90.00° and γ = 120.00°. Symmetry generates all atoms from Ce at (0.0000, 0.5000, 0.0000), Dy at (0.0000, 0.0000, 0.0000), Dy at (0.0000, 0.0000, 0.5000), Dy at (0.0000, 0.5000, 0.5000), As at (0.0000, 0.0000, 0.2484) and As at (0.0015, 0.5007, 0.7508).

Record 2
Here is a geometry-optimized K2RbNpI8 structure from Alexandria via LeMat-Bulk. Energies are from GGA-PBE.

The raw formation energy comes out at -1.020 eV per atom. The value obtained for the final energy is -40.7 eV per cell. The value obtained for the volume is 52.15 A^3/atom. Its density of states at the Fermi level is 14.471 states/eV/cell.

It has space group P2/m (No. 10), with a = 7.5388 Å, b = 10.8547 Å, c = 8.4274 Å, α = 90.00°, β = 114.84° and γ = 90.00°. Symmetry generates all atoms from K at (0.0000, 0.2467, 0.0000), Rb at (0.5000, 0.0000, 0.5000), Np at (0.5000, 0.5000, 0.5000), I at (0.0259, 0.0000, 0.7505), I at (0.0696, 0.5000, 0.2935) and I at (0.4639, 0.3048, 0.7321).

Record 3
Here is a geometry-optimized BaTbGe structure from Alexandria via LeMat-Bulk. Energies are from GGA-PBE.

The value obtained for the final energy is -25.5 eV per cell. The value obtained for the volume is 33.69 A^3/atom. Its density of states at the Fermi level is 6.501 states/eV/cell. Its formation energy is -0.534 eV/atom.

It has space group P4/nmm (No. 129, origin choice 2), with a = 5.0996 Å, b = 5.0996 Å, c = 7.7734 Å, α = 90.00°, β = 90.00° and γ = 90.00°. Symmetry generates all atoms from Ba at (0.2500, 0.2500, 0.1349), Tb at (0.2500, 0.7500, 0.5000) and Ge at (0.2500, 0.2500, 0.6968).

Record 4
Here is a geometry-optimized GdSc2Ta structure from Alexandria via LeMat-Bulk. Energies are from GGA-PBE.

The value obtained for the final energy is -109.9 eV per cell. The calculation puts the excess energy over the best structure of this formula in the dataset at 0.273 eV per atom. The value obtained for the volume is 23.86 A^3/atom. Its density of states at the Fermi level is 17.458 states/eV/cell. Its formation energy is 0.494 eV/atom.

It has space group R-3m (No. 166, hexagonal axes), with a = 3.1335 Å, b = 3.1335 Å, c = 33.6734 Å, α = 90.00°, β = 90.00° and γ = 120.00°. Symmetry generates all atoms from Gd at (0.0000, 0.0000, 0.0000), Sc at (0.0000, 0.0000, 0.4170) and Ta at (0.0000, 0.0000, 0.5000).